DFT (PBE) results for an optimized crystal structure of CaMoCl.

Unit cell a=3.3435 b=3.3435 c=6.4498 alpha=90.00 beta=90.00 gamma=120.00
Positions (direct):
Cl 0.6667 0.3333 0.3553
Mo 0.3333 0.6667 0.6374
Ca 0.0000 0.0000 0.0073

Values from the calculation:
symmetry	P3m1, No. 156

DFT (PBE) results for an optimized crystal structure of Ca2Mo2Cl.

Unit cell a=8.5843 b=8.5843 c=3.6091 alpha=90.00 beta=90.00 gamma=90.00
Positions (direct):
Cl 0.5000 0.5000 0.0000
Cl 0.0000 0.0000 0.0000
Ca 0.3034 0.1966 0.5000
Ca 0.8034 0.3034 0.5000
Ca 0.1966 0.6966 0.5000
Ca 0.6966 0.8034 0.5000
Mo 0.0861 0.4139 0.0000
Mo 0.9139 0.5861 0.0000
Mo 0.5861 0.0861 0.0000
Mo 0.4139 0.9139 0.0000

Values from the calculation:
symmetry	P4/mbm, No. 127

Going through the records in order, we get uncorrected formation energy values of 0.193; 0.387 eV per atom.
Going through the records in order, we get energy above the most stable polymorph in this dataset values of 2.6; 55.1 kJ/mol of atoms.